(1)
DFT (PBE) results for crystalline LaEr12Tm6 at its relaxed geometry.

The magnetic moment is 0.00 μB per formula unit. Its density of states at the Fermi level is 97.885 states/eV per cell.

It has space group R-3 (No. 148, hexagonal axes), with a = 11.7547 Å, b = 11.7547 Å, c = 15.0806 Å, α = 90.00°, β = 90.00° and γ = 120.00°. The asymmetric unit holds La at (0.0000, 0.0000, 0.0000), Er at (0.0210, 0.8359, 0.1919), Er at (0.0386, 0.8507, 0.4156) and Tm at (0.0067, 0.4209, 0.6774).

(2)
DFT (PBE) results for crystalline La2Er2Tm7 at its relaxed geometry.

The magnetic moment is 0.00 μB per formula unit. Its density of states at the Fermi level is 32.073 states/eV per cell.

It has space group C2/m (No. 12), with a = 11.182 Å, b = 11.529 Å, c = 6.006 Å, α = 90.00°, β = 113.70° and γ = 90.00°. The asymmetric unit holds La at (0.000, 0.211, 0.000), Er at (0.096, 0.500, 0.312), Tm at (0.000, 0.000, 0.500), Tm at (0.173, 0.235, 0.670) and Tm at (0.241, 0.000, 0.081).

(3)
DFT (PBE) results for crystalline La2Er8Tm at its relaxed geometry.

The magnetic moment is 0.00 μB per formula unit. Its density of states at the Fermi level is 31.397 states/eV per cell.

It has space group C2/m (No. 12), with a = 16.502 Å, b = 6.582 Å, c = 6.668 Å, α = 90.00°, β = 100.68° and γ = 90.00°. The asymmetric unit holds La at (0.248, 0.000, 0.320), Er at (0.084, 0.259, 0.396), Er at (0.089, 0.500, 0.912), Er at (0.196, 0.000, 0.810) and Tm at (0.000, 0.000, 0.000).

(4)
DFT (PBE) results for crystalline LaEr5Tm6 at its relaxed geometry.

The magnetic moment is 0.00 μB per formula unit. Its density of states at the Fermi level is 33.208 states/eV per cell.

It has space group C2/m (No. 12), with a = 6.093 Å, b = 10.547 Å, c = 11.659 Å, α = 90.00°, β = 100.02° and γ = 90.00°. The asymmetric unit holds La at (0.000, 0.000, 0.000), Er at (0.000, 0.167, 0.500), Er at (0.000, 0.333, 0.000), Er at (0.000, 0.500, 0.500), Tm at (0.249, 0.333, 0.747) and Tm at (0.249, 0.500, 0.253).

no.,formation energy (eV/f.u.)
1,3.06
2,1.86
3,1.99
4,0.34